[1]
Crystalline Fe2Cl at its relaxed geometry, computed with PBE-GGA.

VASP energy   -5.93 eV/atom
ΔE to the lowest computed polymorph   369 meV per atom
Formation energy without anion corrections   0.324 eV/atom
Magnetic moment   6.00 μB per formula unit

Cell lengths 5.569, 5.569, 8.449 Å; angles 90.00, 90.00, 120.00 degrees
Element x y z (fractional)
Fe 0.000 0.000 0.000
Fe 0.000 0.000 0.500
Fe 0.143 0.285 0.250
Fe 0.143 0.857 0.250
Fe 0.285 0.143 0.750
Fe 0.715 0.857 0.250
Fe 0.857 0.143 0.750
Fe 0.857 0.715 0.750
Cl 0.333 0.667 0.063
Cl 0.333 0.667 0.437
Cl 0.667 0.333 0.563
Cl 0.667 0.333 0.937

---

[2]
Crystalline Fe5Cl at its relaxed geometry, computed with PBE-GGA.

VASP energy   -6.71 eV/atom
ΔE to the lowest computed polymorph   316 meV per atom
Formation energy without anion corrections   0.646 eV/atom
Magnetic moment   14.12 μB per formula unit

Cell lengths 4.964, 4.964, 4.170 Å; angles 90.00, 90.00, 120.00 degrees
Element x y z (fractional)
Fe 0.000 0.500 0.000
Fe 0.333 0.667 0.500
Fe 0.500 0.000 0.000
Fe 0.500 0.500 0.000
Fe 0.667 0.333 0.500
Cl 0.000 0.000 0.500

---

[3]
Crystalline Fe2Cl at its relaxed geometry, computed with PBE-GGA.

VASP energy   -6.00 eV/atom
ΔE to the lowest computed polymorph   303 meV per atom
Formation energy without anion corrections   0.258 eV/atom
Magnetic moment   6.03 μB per formula unit

Cell lengths 6.292, 5.968, 2.968 Å; angles 82.15, 69.99, 27.86 degrees
Element x y z (fractional)
Fe 0.173 0.173 0.827
Fe 0.827 0.827 0.173
Cl 0.500 0.500 0.500